[1]
Material: Hf2MnGeF
Method: DFT, PBE+U
State: relaxed

abc: 4.283 4.283 5.076
angles: 90.00 90.00 90.00
Sites, in units of the cell vectors:
Hf1 0.000 0.500 0.000
Hf2 0.500 0.000 0.000
Mn1 0.000 0.000 0.500
Ge1 0.500 0.500 0.500
F1 0.500 0.500 0.000

total DFT energy (no corrections) = -35.15 eV per cell
size of the total moment = 3.9 μB/cell
SG = No. 123



[2]
Material: Hf2GeMoF
Method: DFT, PBE+U
State: relaxed

abc: 4.250 4.250 4.973
angles: 90.00 90.00 90.00
Sites, in units of the cell vectors:
Hf1 0.000 0.500 0.000
Hf2 0.500 0.000 0.000
Ge1 0.000 0.000 0.500
Mo1 0.500 0.500 0.500
F1 0.000 0.000 0.000

total DFT energy (no corrections) = -34.37 eV per cell
size of the total moment = 1.4 μB/cell
SG = No. 123